[1]
First-principles (PBE) data for Nd3YRh2 after structural relaxation, as listed in Alexandria via LeMat-Bulk.

The total energy comes out at -6.384 eV/atom. As for the formation enthalpy at 0 K: -2.83 eV/f.u.

The space group is Ibam (No. 72) and the conventional cell measures 6.8898, 13.8525 and 7.2852 Å, with angles of 90.00, 90.00 and 90.00 degrees. The distinct sites, in fractional coordinates, are Nd at (0.0000, 0.0000, 0.2500), Nd at (0.0000, 0.2684, 0.2500), Y at (0.0000, 0.5000, 0.0000) and Rh at (0.2142, 0.1368, 0.0000).

***

[2]
First-principles (PBE) data for SrSm2Mg9 after structural relaxation, as listed in Alexandria via LeMat-Bulk.

The total energy comes out at -2.189 eV/atom. As for the formation enthalpy at 0 K: -0.80 eV/f.u.

The space group is R-3m (No. 166, hexagonal axes) and the conventional cell measures 6.1590, 6.1590 and 30.0399 Å, with angles of 90.00, 90.00 and 120.00 degrees. The distinct sites, in fractional coordinates, are Sr at (0.0000, 0.0000, 0.0000), Sm at (0.0000, 0.0000, 0.1478), Mg at (0.0000, 0.0000, 0.3343), Mg at (0.0000, 0.0000, 0.5000) and Mg at (0.0039, 0.5020, 0.9148).

***

[3]
First-principles (PBE) data for FeCuSb2I after structural relaxation, as listed in Alexandria via LeMat-Bulk.

The total energy comes out at -3.810 eV/atom. Its formation energy without anion corrections is 0.66 eV per atom. The energy above the most stable polymorph in this dataset comes out at 0.000 eV/atom.

The space group is P4/mmm (No. 123) and the conventional cell measures 4.7840, 4.7840 and 5.6646 Å, with angles of 90.00, 90.00 and 90.00 degrees. The distinct sites, in fractional coordinates, are Fe at (0.0000, 0.0000, 0.0000), Cu at (0.5000, 0.5000, 0.5000), Sb at (0.0000, 0.5000, 0.0000) and I at (0.0000, 0.0000, 0.5000).

***

[4]
First-principles (PBE) data for GaSn2B2Rh5 after structural relaxation, as listed in Alexandria via LeMat-Bulk.

The total energy comes out at -6.440 eV/atom. As for the formation enthalpy at 0 K: -3.25 eV/f.u.

The space group is P4/mbm (No. 127) and the conventional cell measures 9.4935, 9.4935 and 3.0956 Å, with angles of 90.00, 90.00 and 90.00 degrees. The distinct sites, in fractional coordinates, are Ga at (0.0000, 0.0000, 0.0000), Sn at (0.1757, 0.3243, 0.0000), B at (0.1250, 0.6250, 0.0000), Rh at (0.0000, 0.5000, 0.5000) and Rh at (0.0739, 0.7840, 0.5000).